A geometry-optimized LaSmInRu structure, computed with PBE-GGA.

Computed properties:
Calculated volume ... 25.51 A^3/atom
Calculated formation energy ... -0.219 eV/atom
N(E_F) ... 0.684 states/eV per atom
Theoretical density ... 8.22 Mg/m³

Lattice parameters (Å, degrees): 5.2455 5.2455 5.2455 60.00 60.00 60.00
With the nearest neighbours (Å) after each atom.
Sites, in units of the cell vectors:
La (0.0000, 0.0000, 0.0000)  4 Ru 3.21, 4 In 3.21
Sm (0.5000, 0.5000, 0.5000)  4 In 3.21, 4 Ru 3.21
In (0.2500, 0.2500, 0.2500)  4 Sm 3.21, 4 La 3.21
Ru (0.7500, 0.7500, 0.7500)  4 Sm 3.21, 4 La 3.21